Here is crystalline Te2IrS at its relaxed geometry from Alexandria via LeMat-Bulk. Energies are from PBEsol.

extended XYZ file:
```
4
Lattice="-1.1053 1.8634 2.0359 -0.9066 -1.0423 2.6326 9.7241 1.8476 5.7590" Properties=species:S:1:pos:R:3 pbc="T T T"
S 3.8561 1.3344 5.2138
Ir 0.0000 0.0000 0.0000
Te 0.3391 1.1771 5.6191
Te 7.3731 1.4916 4.8085
```

Calculated values
* uncorrected formation energy: 0.645 eV/atom


Here is crystalline Rb2HIr at its relaxed geometry from Alexandria via LeMat-Bulk. Energies are from PBEsol.

extended XYZ file:
```
8
Lattice="-3.3349 -0.7128 -0.5133 0.0782 -3.3510 -7.4395 -0.6285 -7.5622 3.0000" Properties=species:S:1:pos:R:3 pbc="T T T"
H -1.6675 -0.3564 -0.2566
H -1.1089 -5.6348 -2.3481
Ir 0.0000 0.0000 0.0000
Ir -2.7763 -5.9912 -2.6047
Rb -3.2890 -8.5598 -4.3954
Rb -1.4299 -3.2444 -0.6857
Rb -1.5136 -4.0685 -4.7902
Rb -1.5379 -7.3792 -0.0343
```

Calculated values
* final energy: -3.329 eV/atom


Here is crystalline TlFe2As at its relaxed geometry from Alexandria via LeMat-Bulk. Energies are from PBEsol.

extended XYZ file:
```
4
Lattice="3.0643 0.0000 0.0000 -1.5321 3.8432 -0.0262 0.0000 -1.2063 5.9356" Properties=species:S:1:pos:R:3 pbc="T T T"
As 1.5321 1.6404 0.7973
Fe 1.5321 2.6273 5.8190
Fe 0.0000 1.0387 4.9243
Tl 1.5321 -0.6358 3.2460
```

Calculated values
* distance to the lowest polymorph of the same formula: 0.0 meV per atom
* formation energy: 119 kJ/mol of formula units


Here is crystalline BeFe2OsPd at its relaxed geometry from Alexandria via LeMat-Bulk. Energies are from PBEsol.

extended XYZ file:
```
5
Lattice="-1.0454 3.1597 -2.0717 -3.7342 -1.1918 0.0666 -0.5795 2.0028 3.3471" Properties=species:S:1:pos:R:3 pbc="T T T"
Be 0.0000 0.0000 0.0000
Os -2.6796 1.9854 0.6710
Fe -1.8671 -0.5959 0.0333
Fe -0.5227 1.5799 -1.0359
Pd -0.2898 1.0014 1.6736
```

Calculated values
* formation energy: 335 kJ/mol of formula units


Here is crystalline SrMnCr2 at its relaxed geometry from Alexandria via LeMat-Bulk. Energies are from PBEsol.

extended XYZ file:
```
4
Lattice="3.2638 0.0000 0.0000 0.0000 4.6983 0.0000 0.0000 0.0000 4.7938" Properties=species:S:1:pos:R:3 pbc="T T T"
Cr 0.0000 0.0000 0.0000
Cr 1.6319 2.3492 0.0000
Mn 1.6319 0.0000 2.3969
Sr 0.0000 2.3492 2.3969
```

Calculated values
* formation energy: 441 kJ/mol of formula units


Here is crystalline TcNi2Se at its relaxed geometry from Alexandria via LeMat-Bulk. Energies are from PBEsol.

extended XYZ file:
```
4
Lattice="-0.7031 -1.0652 2.4151 -2.3244 -2.7556 -1.8921 3.5525 -2.8451 -0.2207" Properties=species:S:1:pos:R:3 pbc="T T T"
Ni 0.0891 -0.0714 -0.0055
Ni 1.4133 -3.4404 -1.1060
Se 1.5695 -2.0711 1.0882
Tc -0.7706 -2.5056 0.2153
```

Calculated values
* uncorrected formation energy: 0.186 eV/atom


Here is crystalline K2OsSe at its relaxed geometry from Alexandria via LeMat-Bulk. Energies are from PBEsol.

extended XYZ file:
```
4
Lattice="-1.1463 -0.0600 -2.7305 0.3263 -2.4102 -1.6906 -9.5462 -4.8717 2.5081" Properties=species:S:1:pos:R:3 pbc="T T T"
K -2.5694 -1.8258 -0.4878
K -7.7968 -5.5160 -1.4253
Os -5.1831 -3.6709 -0.9565
Se 0.0000 0.0000 0.0000
```

Calculated values
* uncorrected formation energy: 0.737 eV/atom


Here is crystalline OsRu2Cl at its relaxed geometry from Alexandria via LeMat-Bulk. Energies are from PBEsol.

extended XYZ file:
```
4
Lattice="-0.7396 -2.0232 1.7483 0.8915 -1.8968 -1.8179 6.5408 0.2001 2.9987" Properties=species:S:1:pos:R:3 pbc="T T T"
Cl 0.0759 -1.9600 -0.0348
Os 3.3463 -1.8599 1.4646
Ru 4.8876 0.1496 2.2408
Ru 1.6532 0.0506 0.7579
```

Calculated values
* distance to the lowest polymorph of the same formula: 0.0 meV per atom
* uncorrected formation energy: 0.458 eV/atom


Here is crystalline AgSb2Te at its relaxed geometry from Alexandria via LeMat-Bulk. Energies are from PBEsol.

extended XYZ file:
```
4
Lattice="3.1024 0.0000 0.0000 0.0000 3.1024 0.0000 0.0000 0.0000 10.4379" Properties=species:S:1:pos:R:3 pbc="T T T"
Sb 0.0000 0.0000 7.3376
Sb 0.0000 0.0000 3.1003
Te 1.5512 1.5512 0.0000
Ag 1.5512 1.5512 5.2189
```

Calculated values
* uncorrected formation energy: 0.146 eV/atom


Here is crystalline Ba2MgMoO6 at its relaxed geometry from Alexandria via LeMat-Bulk. Energies are from PBEsol.

extended XYZ file:
```
10
Lattice="-0.5512 -0.0846 -5.6844 -1.8138 -4.7384 -2.6231 -5.1978 -0.1445 -2.3634" Properties=species:S:1:pos:R:3 pbc="T T T"
Mg -3.7814 -2.4838 -5.3355
Mo 0.0000 0.0000 0.0000
Ba -1.8907 -1.2419 -2.6677
Ba -5.6721 -3.7256 -8.0032
O -2.7517 -3.6637 -3.9160
O -2.0909 -1.2282 -5.5181
O -5.4719 -3.7393 -5.1528
O -4.8112 -1.3038 -6.7550
O -3.0401 -3.7080 -6.8909
O -4.5227 -1.2595 -3.7800
```

Calculated values
* uncorrected formation energy: -2.679 eV/atom


Here is crystalline KMgTi3 at its relaxed geometry from Alexandria via LeMat-Bulk. Energies are from PBEsol.

extended XYZ file:
```
5
Lattice="5.0841 0.0000 0.0000 0.0000 5.0841 0.0000 0.0000 0.0000 5.0841" Properties=species:S:1:pos:R:3 pbc="T T T"
K 2.5420 2.5420 2.5420
Mg 0.0000 0.0000 0.0000
Ti 0.0000 2.5420 0.0000
Ti 0.0000 0.0000 2.5420
Ti 2.5420 0.0000 0.0000
```

Calculated values
* distance to the lowest polymorph of the same formula: 0.0 meV per atom
* formation energy: 749 kJ/mol of formula units


Here is crystalline ScTi3W at its relaxed geometry from Alexandria via LeMat-Bulk. Energies are from PBEsol.

extended XYZ file:
```
5
Lattice="4.4217 0.0000 0.0000 0.0000 4.4217 0.0000 0.0000 0.0000 4.4217" Properties=species:S:1:pos:R:3 pbc="T T T"
Sc 0.0000 0.0000 0.0000
W 2.2108 2.2108 2.2108
Ti 0.0000 2.2108 0.0000
Ti 0.0000 0.0000 2.2108
Ti 2.2108 0.0000 0.0000
```

Calculated values
* formation energy: 722 kJ/mol of formula units